A plane-wave DFT calculation with PBE was carried out for a relaxed Ti2MnNb2 crystal.

Symmetry   P4/mbm (127)
Formation energy from the elements   238 meV per atom
Relative energy among the computed polymorphs   158 meV per atom

Lattice parameters (Å, degrees): 6.075 6.075 4.565 90.00 90.00 90.00
Sites, in units of the cell vectors:
Nb1 0.159 0.659 0.500
Nb2 0.659 0.841 0.500
Nb3 0.841 0.341 0.500
Nb4 0.341 0.159 0.500
Mn1 0.000 0.000 0.000
Mn2 0.500 0.500 0.000
Ti1 0.342 0.842 0.000
Ti2 0.842 0.658 0.000
Ti3 0.658 0.158 0.000
Ti4 0.158 0.342 0.000